(1)
Rb2In4Sn3Hg | the Alexandria database | PBE | optimized geometry; E_form = -0.162 eV/atom; DFT total energy = -2.682 eV per atom; crystal system = tetragonal; SG = P-4m2 (115)
1.0
5.203 0.000 0.000
0.000 5.203 0.000
0.000 0.000 12.158
Rb In Sn Hg
2 4 3 1
direct
0.000 0.500 0.249
0.500 0.000 0.751
0.000 0.000 0.500
0.000 0.500 0.873
0.500 0.000 0.127
0.500 0.500 0.500
0.000 0.000 0.000
0.000 0.500 0.630
0.500 0.000 0.370
0.500 0.500 0.000

---

(2)
RbInSnHg2 | the Alexandria database | PBE | optimized geometry; E_form = -0.141 eV/atom; DFT total energy = -1.803 eV per atom; polymorph energy (0 for the lowest one) = 0.0 kJ/mol of atoms; crystal system = tetragonal; SG = I-4m2 (119)
1.0
-2.461 2.461 6.527
2.461 -2.461 6.527
2.461 2.461 -6.527
Rb In Sn Hg
1 1 1 2
direct
0.000 0.000 0.000
0.750 0.250 0.500
0.250 0.750 0.500
0.388 0.388 0.000
0.612 0.612 0.000

---

(3)
RbInSnHg2 | the Alexandria database | PBE | optimized geometry; E_form = 0.025 eV/atom; DFT total energy = -1.637 eV per atom; polymorph energy (0 for the lowest one) = 16.1 kJ/mol of atoms; crystal system = tetragonal; SG = P4/mmm (123)
1.0
5.966 0.000 0.000
0.000 5.966 0.000
0.000 0.000 5.810
Rb In Sn Hg
1 1 1 2
direct
0.000 0.000 0.000
0.500 0.500 0.000
0.500 0.500 0.500
0.000 0.500 0.500
0.500 0.000 0.500

---

(4)
Rb2In3SnHg4 | the Alexandria database | PBE | optimized geometry; E_form = -0.131 eV/atom; DFT total energy = -1.667 eV per atom; crystal system = tetragonal; SG = P-4m2 (115)
1.0
5.041 0.000 0.000
0.000 5.041 0.000
0.000 0.000 12.512
Rb In Sn Hg
2 3 1 4
direct
0.000 0.500 0.248
0.500 0.000 0.752
0.000 0.500 0.872
0.500 0.000 0.128
0.500 0.500 0.500
0.000 0.000 0.500
0.000 0.000 0.000
0.000 0.500 0.639
0.500 0.000 0.361
0.500 0.500 0.000

---

(5)
RbInSnHg | the Alexandria database | PBE | optimized geometry; E_form = -0.135 eV/atom; DFT total energy = -2.138 eV per atom; polymorph energy (0 for the lowest one) = 0.0 kJ/mol of atoms; crystal system = monoclinic; SG = Cm (8)
1.0
4.248 -2.470 0.000
4.248 2.470 0.000
-2.831 0.000 7.352
Rb In Sn Hg
1 1 1 1
direct
0.000 0.000 0.000
0.814 0.814 0.437
0.456 0.456 0.367
0.231 0.231 0.689

---

(6)
Rb2InSn4Hg3 | the Alexandria database | PBE | optimized geometry; E_form = -0.152 eV/atom; DFT total energy = -2.311 eV per atom; crystal system = tetragonal; SG = P-4m2 (115)
1.0
4.980 0.000 0.000
0.000 4.980 0.000
0.000 0.000 12.763
Rb In Sn Hg
2 1 4 3
direct
0.000 0.500 0.249
0.500 0.000 0.751
0.500 0.500 0.000
0.000 0.000 0.500
0.000 0.500 0.866
0.500 0.000 0.134
0.500 0.500 0.500
0.000 0.000 0.000
0.000 0.500 0.640
0.500 0.000 0.360

---

(7)
Rb2In6SnHg | the Alexandria database | PBE | optimized geometry; E_form = -0.027 eV/atom; DFT total energy = -2.294 eV per atom; crystal system = trigonal; SG = R-3m (166)
1.0
3.995 2.307 13.559
-3.995 2.307 13.559
0.000 -4.614 13.559
Rb In Sn Hg
4 12 2 2
direct
0.152 0.152 0.152
0.292 0.292 0.292
0.708 0.708 0.708
0.848 0.848 0.848
0.156 0.587 0.587
0.187 0.808 0.808
0.192 0.192 0.813
0.192 0.813 0.192
0.413 0.413 0.844
0.413 0.844 0.413
0.587 0.156 0.587
0.587 0.587 0.156
0.808 0.187 0.808
0.808 0.808 0.187
0.813 0.192 0.192
0.844 0.413 0.413
0.380 0.380 0.380
0.620 0.620 0.620
0.000 0.000 0.000
0.500 0.500 0.500

---

(8)
Rb2In4SnHg3 | the Alexandria database | PBE | optimized geometry; E_form = -0.140 eV/atom; DFT total energy = -1.920 eV per atom; crystal system = tetragonal; SG = P-4m2 (115)
1.0
5.108 0.000 0.000
0.000 5.108 0.000
0.000 0.000 12.393
Rb In Sn Hg
2 4 1 3
direct
0.000 0.500 0.249
0.500 0.000 0.751
0.000 0.000 0.500
0.000 0.500 0.868
0.500 0.000 0.132
0.500 0.500 0.500
0.500 0.500 0.000
0.000 0.000 0.000
0.000 0.500 0.632
0.500 0.000 0.368

---

(9)
RbInSnHg | the Alexandria database | PBE | optimized geometry; E_form = -0.037 eV/atom; DFT total energy = -2.040 eV per atom; polymorph energy (0 for the lowest one) = 9.4 kJ/mol of atoms; crystal system = cubic; SG = F-43m (216)
1.0
0.000 3.959 3.959
3.959 0.000 3.959
3.959 3.959 0.000
Rb In Sn Hg
1 1 1 1
direct
0.000 0.000 0.000
0.750 0.750 0.750
0.500 0.500 0.500
0.250 0.250 0.250

---

(10)
RbInHgTe | the Alexandria database | PBE | optimized geometry; DFT total energy = -2.180 eV per atom; raw formation energy = -392.6 meV/atom; crystal system = cubic; SG = F-43m (216)
1.0
0.000 4.161 4.161
4.161 0.000 4.161
4.161 4.161 0.000
Rb In Hg Te
1 1 1 1
direct
0.000 0.000 0.000
0.500 0.500 0.500
0.750 0.750 0.750
0.250 0.250 0.250

---

(11)
RbIn2HgTe | the Alexandria database | PBE | optimized geometry; DFT total energy = -1.999 eV per atom; raw formation energy = -21.4 meV/atom; crystal system = tetragonal; SG = P4/mmm (123)
1.0
5.599 0.000 0.000
0.000 5.599 0.000
0.000 0.000 6.307
Rb In Hg Te
1 2 1 1
direct
0.000 0.000 0.000
0.000 0.500 0.500
0.500 0.000 0.500
0.000 0.000 0.500
0.500 0.500 0.000

---

(12)
Rb2Tl6InHg | the Alexandria database | PBE | optimized geometry; E_form = 0.011 eV/atom; DFT total energy = -1.906 eV per atom; crystal system = trigonal; SG = R-3m (166)
1.0
4.038 2.331 13.806
-4.038 2.331 13.806
0.000 -4.662 13.806
Rb Tl In Hg
4 12 2 2
direct
0.104 0.104 0.104
0.278 0.278 0.278
0.722 0.722 0.722
0.896 0.896 0.896
0.076 0.666 0.666
0.228 0.228 0.629
0.228 0.629 0.228
0.334 0.334 0.924
0.334 0.924 0.334
0.371 0.772 0.772
0.629 0.228 0.228
0.666 0.076 0.666
0.666 0.666 0.076
0.772 0.371 0.772
0.772 0.772 0.371
0.924 0.334 0.334
0.000 0.000 0.000
0.500 0.500 0.500
0.426 0.426 0.426
0.574 0.574 0.574

---

(13)
Rb2Tl12In3Hg | the Alexandria database | PBE | optimized geometry; E_form = 0.038 eV/atom; DFT total energy = -2.120 eV per atom; crystal system = trigonal; SG = R-3m (166)
1.0
5.699 3.290 5.413
-5.699 3.290 5.413
0.000 -6.580 5.413
Rb Tl In Hg
2 12 3 1
direct
0.221 0.221 0.221
0.779 0.779 0.779
0.088 0.088 0.633
0.088 0.633 0.088
0.215 0.694 0.694
0.306 0.306 0.785
0.306 0.785 0.306
0.367 0.912 0.912
0.633 0.088 0.088
0.694 0.215 0.694
0.694 0.694 0.215
0.785 0.306 0.306
0.912 0.367 0.912
0.912 0.912 0.367
0.000 0.500 0.500
0.500 0.000 0.500
0.500 0.500 0.000
0.500 0.500 0.500

---

(14)
RbTlIn4Hg2 | the Alexandria database | PBE | optimized geometry; E_form = -0.055 eV/atom; DFT total energy = -1.916 eV per atom; crystal system = tetragonal; SG = P4/mmm (123)
1.0
5.143 0.000 0.000
0.000 5.143 0.000
0.000 0.000 9.719
Rb Tl In Hg
1 1 4 2
direct
0.000 0.000 0.000
0.000 0.000 0.500
0.000 0.500 0.318
0.000 0.500 0.682
0.500 0.000 0.318
0.500 0.000 0.682
0.500 0.500 0.151
0.500 0.500 0.849

---

(15)
RbTlIn2Hg2 | the Alexandria database | PBE | optimized geometry; E_form = -0.118 eV/atom; DFT total energy = -1.687 eV per atom; crystal system = trigonal; SG = P-3m1 (164)
1.0
5.186 0.000 0.000
-2.593 4.491 0.000
0.000 0.000 8.648
Rb Tl In Hg
1 1 2 2
direct
0.000 0.000 0.000
0.000 0.000 0.500
0.333 0.667 0.671
0.667 0.333 0.329
0.333 0.667 0.279
0.667 0.333 0.721

---

(16)
RbTlIn2Hg4 | the Alexandria database | PBE | optimized geometry; E_form = -0.089 eV/atom; DFT total energy = -1.342 eV per atom; crystal system = trigonal; SG = R-3m (166)
1.0
2.537 1.465 11.420
-2.537 1.465 11.420
0.000 -2.929 11.420
Rb Tl In Hg
1 1 2 4
direct
0.000 0.000 0.000
0.500 0.500 0.500
0.238 0.238 0.238
0.762 0.762 0.762
0.126 0.126 0.126
0.397 0.397 0.397
0.603 0.603 0.603
0.874 0.874 0.874

---

(17)
RbTl4In2Hg | the Alexandria database | PBE | optimized geometry; E_form = -0.037 eV/atom; DFT total energy = -2.063 eV per atom; crystal system = trigonal; SG = R-3m (166)
1.0
2.737 1.580 10.450
-2.737 1.580 10.450
0.000 -3.161 10.450
Rb Tl In Hg
1 4 2 1
direct
0.000 0.000 0.000
0.133 0.133 0.133
0.402 0.402 0.402
0.598 0.598 0.598
0.867 0.867 0.867
0.239 0.239 0.239
0.761 0.761 0.761
0.500 0.500 0.500

---

(18)
RbTl6InHg | the Alexandria database | PBE | optimized geometry; E_form = 0.027 eV/atom; DFT total energy = -1.995 eV per atom; crystal system = orthorhombic; SG = Imma (74)
1.0
-4.268 5.399 6.821
4.268 -5.399 6.821
4.268 5.399 -6.821
Rb Tl In Hg
2 12 2 2
direct
0.452 0.202 0.250
0.548 0.798 0.750
0.128 0.437 0.313
0.128 0.815 0.692
0.160 0.910 0.250
0.236 0.486 0.750
0.377 0.185 0.813
0.377 0.563 0.192
0.623 0.437 0.808
0.623 0.815 0.187
0.764 0.514 0.250
0.840 0.090 0.750
0.872 0.185 0.308
0.872 0.563 0.687
0.000 0.000 0.000
0.500 0.000 0.500
0.000 0.000 0.500
0.000 0.500 0.000

---

(19)
RbTlIn2Hg | the Alexandria database | PBE | optimized geometry; E_form = -0.079 eV/atom; DFT total energy = -1.901 eV per atom; crystal system = monoclinic; SG = P2_1/m (11)
1.0
8.559 0.000 0.000
0.000 4.924 0.000
-1.762 0.000 8.503
Rb Tl In Hg
2 2 4 2
direct
0.226 0.250 0.351
0.774 0.750 0.649
0.328 0.750 0.693
0.672 0.250 0.307
0.150 0.250 0.814
0.467 0.750 0.098
0.533 0.250 0.902
0.850 0.750 0.186
0.124 0.750 0.020
0.876 0.250 0.980

---

(20)
Rb2Tl4In3Hg | the Alexandria database | PBE | optimized geometry; E_form = -0.079 eV/atom; DFT total energy = -2.070 eV per atom; crystal system = tetragonal; SG = P-4m2 (115)
1.0
5.326 0.000 0.000
0.000 5.326 0.000
0.000 0.000 12.442
Rb Tl In Hg
2 4 3 1
direct
0.000 0.500 0.248
0.500 0.000 0.752
0.000 0.000 0.500
0.000 0.500 0.872
0.500 0.000 0.128
0.500 0.500 0.500
0.000 0.000 0.000
0.000 0.500 0.629
0.500 0.000 0.371
0.500 0.500 0.000